# Li4Cl2F

A relaxed structure of Li4Cl2F (PBE-GGA, Alexandria).

```
data_Li4Cl2F
_cell_length_a 3.7245
_cell_length_b 3.7245
_cell_length_c 17.9866
_cell_angle_alpha 90.00
_cell_angle_beta 90.00
_cell_angle_gamma 90.00
_space_group_name_H-M_alt 'I 4/m m m'
_space_group_IT_number 139
_space_group_name_Hall '-I 4 2'
loop_
_atom_site_label
_atom_site_type_symbol
_atom_site_fract_x
_atom_site_fract_y
_atom_site_fract_z
_atom_site_occupancy
Li1 Li 0.0000 0.0000 0.1706 1
Li2 Li 0.0000 0.5000 0.0000 1
Cl1 Cl 0.0000 0.0000 0.3992 1
F1 F 0.0000 0.0000 0.0000 1
```

* E_form (uncorrected): -1.68 eV/atom
* magnetization: 0.000 μB per cell